First-principles (PBE) data for ZnGaTeOs2 after structural relaxation, as listed in the Alexandria database.

## Properties
energy relative to the elements, uncorrected = 1.320 eV per atom
total magnetization = 0.000 μB per atom

a b c (Å): 4.675 4.675 4.409
angles (deg): 90.00 90.00 90.00
Atoms (fractional coordinates):
Zn: 0.000 0.000 0.000
Ga: 0.000 0.000 0.500
Te: 0.500 0.500 0.000
Os: 0.000 0.500 0.500
Os: 0.500 0.000 0.500